(1)
First-principles (SCAN) data for a PBEsol-optimized structure of LaTc3Ni, as listed in the Alexandria database. Values from VASP.

```
&SYSTEM
  ibrav = 0, nat = 5, ntyp = 3
/
ATOMIC_SPECIES
Tc 98.00 Tc.upf
La 138.91 La.upf
Ni 58.69 Ni.upf
ATOMIC_POSITIONS crystal
Tc 0.0000 0.0000 0.5000
Tc 0.0000 0.5000 0.0000
Tc 0.5000 0.0000 0.0000
La 0.0000 0.0000 0.0000
Ni 0.5000 0.5000 0.5000
CELL_PARAMETERS angstrom
-3.4737 2.2931 -1.9672
-0.1049 -3.0873 -3.4136
-3.0194 -2.5309 2.3817
```

**E_form**: 2.492 eV/atom
**Mass density**: 8.37 g cm⁻³

(2)
First-principles (SCAN) data for a PBEsol-optimized structure of BaZnPd3, as listed in the Alexandria database. Values from VASP.

```
&SYSTEM
  ibrav = 0, nat = 5, ntyp = 3
/
ATOMIC_SPECIES
Pd 106.42 Pd.upf
Ba 137.33 Ba.upf
Zn 65.41 Zn.upf
ATOMIC_POSITIONS crystal
Pd 0.5000 0.0000 0.0000
Pd 0.0000 0.0000 0.5000
Pd 0.0000 0.5000 0.0000
Ba 0.0000 0.0000 0.0000
Zn 0.5000 0.5000 0.5000
CELL_PARAMETERS angstrom
5.2426 0.0000 0.0000
0.0000 5.2426 0.0000
0.0000 0.0000 5.2426
```

**E_form**: 1.195 eV/atom
**Mass density**: 6.02 g cm⁻³

(3)
First-principles (SCAN) data for a PBEsol-optimized structure of ReAgP2, as listed in the Alexandria database. Values from VASP.

```
&SYSTEM
  ibrav = 0, nat = 4, ntyp = 3
/
ATOMIC_SPECIES
P 30.97 P.upf
Ag 107.87 Ag.upf
Re 186.21 Re.upf
ATOMIC_POSITIONS crystal
P 0.0090 0.0090 0.9731
P 0.7482 0.7482 0.7553
Ag 0.2568 0.2568 0.2296
Re 0.4860 0.4860 0.5421
CELL_PARAMETERS angstrom
-0.6171 -1.2682 -2.6400
1.7483 -2.1889 -1.0539
-3.9275 -6.2553 2.2262
```

**Polymorph energy (0 for the lowest one)**: 344.6 meV/atom
**E_form**: 0.404 eV/atom
**Mass density**: 10.14 g cm⁻³

(4)
First-principles (SCAN) data for a PBEsol-optimized structure of ScCuPb2, as listed in the Alexandria database. Values from VASP.

```
&SYSTEM
  ibrav = 0, nat = 4, ntyp = 3
/
ATOMIC_SPECIES
Sc 44.96 Sc.upf
Pb 207.20 Pb.upf
Cu 63.55 Cu.upf
ATOMIC_POSITIONS crystal
Sc 0.4740 0.5062 0.9481
Pb 0.2429 0.7210 0.4857
Pb 0.0207 0.0465 0.0414
Cu 0.7624 0.2263 0.5249
CELL_PARAMETERS angstrom
3.4401 0.0000 0.0000
0.0000 4.8619 -0.0253
-1.7200 -2.1187 5.2415
```

**Polymorph energy (0 for the lowest one)**: 0.0 meV/atom
**E_form**: -0.102 eV/atom
**Mass density**: 9.93 g cm⁻³

(5)
First-principles (SCAN) data for a PBEsol-optimized structure of TaNb3Ni, as listed in the Alexandria database. Values from VASP.

```
&SYSTEM
  ibrav = 0, nat = 5, ntyp = 3
/
ATOMIC_SPECIES
Ni 58.69 Ni.upf
Nb 92.91 Nb.upf
Ta 180.95 Ta.upf
ATOMIC_POSITIONS crystal
Ni 0.5000 0.5000 0.5000
Nb 0.0000 0.0000 0.5000
Nb 0.5000 0.0000 0.0000
Nb 0.0000 0.5000 0.0000
Ta 0.0000 0.0000 0.0000
CELL_PARAMETERS angstrom
4.7902 0.0000 0.0000
0.0000 4.7902 0.0000
0.0000 0.0000 4.7902
```

**E_form**: 1.733 eV/atom
**Mass density**: 7.83 g cm⁻³

(6)
First-principles (SCAN) data for a PBEsol-optimized structure of LaMg2Al2, as listed in the Alexandria database. Values from VASP.

```
&SYSTEM
  ibrav = 0, nat = 10, ntyp = 3
/
ATOMIC_SPECIES
Mg 24.30 Mg.upf
La 138.91 La.upf
Al 26.98 Al.upf
ATOMIC_POSITIONS crystal
Mg 0.5000 0.1688 0.3312
Mg 0.5000 0.8312 0.6688
Mg 0.5000 0.3312 0.8312
Mg 0.5000 0.6688 0.1688
La 0.0000 0.0000 0.0000
La 0.0000 0.5000 0.5000
Al 0.0000 0.3768 0.1232
Al 0.0000 0.6232 0.8768
Al 0.0000 0.8768 0.3768
Al 0.0000 0.1232 0.6232
CELL_PARAMETERS angstrom
3.1241 0.0000 0.0000
0.0000 8.4468 0.0000
0.0000 0.0000 8.4468
```

**E_form**: -0.111 eV/atom
**Mass density**: 3.60 g cm⁻³

(7)
First-principles (SCAN) data for a PBEsol-optimized structure of Li2BeCl4, as listed in the Alexandria database. Values from VASP.

```
&SYSTEM
  ibrav = 0, nat = 28, ntyp = 3
/
ATOMIC_SPECIES
Li 6.94 Li.upf
Cl 35.45 Cl.upf
Be 9.01 Be.upf
ATOMIC_POSITIONS crystal
Li 0.9903 0.2500 0.7335
Li 0.0097 0.7500 0.2665
Li 0.5097 0.2500 0.2335
Li 0.0000 0.0000 0.0000
Li 0.5000 0.0000 0.5000
Li 0.0000 0.5000 0.0000
Li 0.5000 0.5000 0.5000
Li 0.4903 0.7500 0.7665
Cl 0.7564 0.5259 0.6638
Cl 0.2564 0.0259 0.8362
Cl 0.7449 0.2500 0.9096
Cl 0.2449 0.7500 0.5904
Cl 0.2436 0.4741 0.3362
Cl 0.2436 0.0259 0.3362
Cl 0.7551 0.2500 0.4096
Cl 0.7564 0.9741 0.6638
Cl 0.2383 0.2500 0.5643
Cl 0.7436 0.5259 0.1638
Cl 0.2564 0.4741 0.8362
Cl 0.7383 0.7500 0.9357
Cl 0.2617 0.2500 0.0643
Cl 0.2551 0.7500 0.0904
Cl 0.7436 0.9741 0.1638
Cl 0.7617 0.7500 0.4357
Be 0.1028 0.2500 0.4112
Be 0.3972 0.2500 0.9112
Be 0.8972 0.7500 0.5888
Be 0.6028 0.7500 0.0888
CELL_PARAMETERS angstrom
5.7517 0.0000 0.0000
0.0000 7.2264 0.0000
0.0000 0.0000 12.3373
```

**Mass density**: 2.13 g cm⁻³
**E**: -7.712 eV per atom

(8)
First-principles (SCAN) data for a PBEsol-optimized structure of TiZn2AgIr, as listed in the Alexandria database. Values from VASP.

```
&SYSTEM
  ibrav = 0, nat = 5, ntyp = 4
/
ATOMIC_SPECIES
Ag 107.87 Ag.upf
Zn 65.41 Zn.upf
Ir 192.22 Ir.upf
Ti 47.87 Ti.upf
ATOMIC_POSITIONS crystal
Ag 0.5000 0.5000 0.5000
Zn 0.0000 0.0000 0.5000
Zn 0.0000 0.5000 0.0000
Ir 0.0000 0.0000 0.0000
Ti 0.5000 0.0000 0.0000
CELL_PARAMETERS angstrom
4.5628 0.0000 0.0000
0.0000 4.7259 0.0000
0.0000 0.0000 4.7259
```

**E_form**: 0.263 eV/atom
**Mass density**: 7.80 g cm⁻³

(9)
First-principles (SCAN) data for a PBEsol-optimized structure of SrSi4Hg, as listed in the Alexandria database. Values from VASP.

```
&SYSTEM
  ibrav = 0, nat = 6, ntyp = 3
/
ATOMIC_SPECIES
Sr 87.62 Sr.upf
Si 28.09 Si.upf
Hg 200.59 Hg.upf
ATOMIC_POSITIONS crystal
Sr 0.7500 0.7500 0.7500
Si 0.3733 0.3733 0.8801
Si 0.3733 0.8801 0.3733
Si 0.8801 0.3733 0.3733
Si 0.3733 0.3733 0.3733
Hg 0.0000 0.0000 0.0000
CELL_PARAMETERS angstrom
5.4163 0.0000 0.0000
2.7081 4.6906 0.0000
2.7081 1.5635 4.4224
```

**Mass density**: 5.92 g cm⁻³
**E**: -21.553 eV per atom

(10)
First-principles (SCAN) data for a PBEsol-optimized structure of ZnPH5C2N4O3, as listed in the Alexandria database. Values from VASP.

```
&SYSTEM
  ibrav = 0, nat = 64, ntyp = 6
/
ATOMIC_SPECIES
N 14.01 N.upf
P 30.97 P.upf
C 12.01 C.upf
H 1.01 H.upf
O 16.00 O.upf
Zn 65.41 Zn.upf
ATOMIC_POSITIONS crystal
N 0.0971 0.6432 0.1582
N 0.5971 0.8568 0.8418
N 0.7669 0.5892 0.9142
N 0.4495 0.9466 0.2652
N 0.9495 0.5534 0.7348
N 0.6480 0.5313 0.1250
N 0.4029 0.1432 0.1582
N 0.1480 0.9687 0.8750
N 0.2669 0.9108 0.0858
N 0.3520 0.4687 0.8750
N 0.5505 0.0534 0.7348
N 0.8520 0.0313 0.1250
N 0.2331 0.4108 0.0858
N 0.7331 0.0892 0.9142
N 0.9029 0.3568 0.8418
N 0.0505 0.4466 0.2652
P 0.8415 0.7908 0.4834
P 0.1585 0.2092 0.5166
P 0.6585 0.2908 0.4834
P 0.3415 0.7092 0.5166
C 0.3727 0.0021 0.1697
C 0.1273 0.5021 0.1697
C 0.7916 0.0537 0.0227
C 0.6273 0.9979 0.8303
C 0.7084 0.5537 0.0227
C 0.8727 0.4979 0.8303
C 0.2084 0.9463 0.9773
C 0.2916 0.4463 0.9773
H 0.9676 0.5122 0.3300
H 0.6962 0.8692 0.5142
H 0.4723 0.2140 0.2331
H 0.4260 0.8405 0.2809
H 0.5277 0.7860 0.7669
H 0.9723 0.2860 0.7669
H 0.3275 0.1981 0.1042
H 0.4676 0.9878 0.6700
H 0.8038 0.3692 0.5142
H 0.9260 0.6595 0.7191
H 0.0277 0.7140 0.2331
H 0.1725 0.6981 0.1042
H 0.0324 0.4878 0.6700
H 0.5740 0.1595 0.7191
H 0.1962 0.6308 0.4858
H 0.3038 0.1308 0.4858
H 0.6725 0.8019 0.8958
H 0.0740 0.3405 0.2809
H 0.8275 0.3019 0.8958
H 0.5324 0.0122 0.3300
O 0.5638 0.3147 0.6210
O 0.9362 0.8147 0.6210
O 0.1957 0.3783 0.5725
O 0.9277 0.8542 0.3703
O 0.5723 0.3542 0.3703
O 0.4277 0.6458 0.6297
O 0.3043 0.8783 0.5725
O 0.0638 0.1853 0.3790
O 0.6957 0.1217 0.4275
O 0.8043 0.6217 0.4275
O 0.4362 0.6853 0.3790
O 0.0723 0.1458 0.6297
Zn 0.1111 0.9544 0.6797
Zn 0.8889 0.0456 0.3203
Zn 0.3889 0.4544 0.6797
Zn 0.6111 0.5456 0.3203
CELL_PARAMETERS angstrom
-1.7463 -8.2331 0.3538
8.8683 -1.8531 0.6496
-2.7955 0.9937 9.3250
```

**Polymorph energy (0 for the lowest one)**: 0.0 meV/atom
**Mass density**: 2.09 g cm⁻³

(11)
First-principles (SCAN) data for a PBEsol-optimized structure of Be2TcW, as listed in the Alexandria database. Values from VASP.

```
&SYSTEM
  ibrav = 0, nat = 4, ntyp = 3
/
ATOMIC_SPECIES
Be 9.01 Be.upf
Tc 98.00 Tc.upf
W 183.84 W.upf
ATOMIC_POSITIONS crystal
Be 0.6811 0.5000 0.3622
Be 0.8163 0.0000 0.6326
Tc 0.0974 0.0000 0.1948
W 0.4038 0.5000 0.8075
CELL_PARAMETERS angstrom
3.1177 0.0000 0.0000
0.0000 3.1936 0.0000
-1.5588 0.0000 4.3853
```

**Polymorph energy (0 for the lowest one)**: 0.0 meV/atom
**E_form**: -0.232 eV/atom
**Mass density**: 11.40 g cm⁻³

(12)
First-principles (SCAN) data for a PBEsol-optimized structure of SrPAu4, as listed in the Alexandria database. Values from VASP.

```
&SYSTEM
  ibrav = 0, nat = 6, ntyp = 3
/
ATOMIC_SPECIES
Au 196.97 Au.upf
Sr 87.62 Sr.upf
P 30.97 P.upf
ATOMIC_POSITIONS crystal
Au 0.3751 0.8747 0.3751
Au 0.3751 0.3751 0.3751
Au 0.8747 0.3751 0.3751
Au 0.3751 0.3751 0.8747
Sr 0.0000 0.0000 0.0000
P 0.7500 0.7500 0.7500
CELL_PARAMETERS angstrom
-2.7738 4.5087 -1.5708
-5.5129 -0.1122 -0.2923
-3.0174 2.8056 3.6761
```

**E_form**: -0.272 eV/atom
**Mass density**: 12.64 g cm⁻³

(13)
First-principles (SCAN) data for a PBEsol-optimized structure of Mg3GePd, as listed in the Alexandria database. Values from VASP.

```
&SYSTEM
  ibrav = 0, nat = 5, ntyp = 3
/
ATOMIC_SPECIES
Mg 24.30 Mg.upf
Pd 106.42 Pd.upf
Ge 72.64 Ge.upf
ATOMIC_POSITIONS crystal
Mg 0.0000 0.5000 0.0000
Mg 0.0000 0.0000 0.5000
Mg 0.5000 0.0000 0.0000
Pd 0.5000 0.5000 0.5000
Ge 0.0000 0.0000 0.0000
CELL_PARAMETERS angstrom
-4.3735 1.4953 1.5812
-1.8940 -0.8670 -4.4186
-1.0719 -4.5690 1.3560
```

**E_form**: 0.236 eV/atom
**Mass density**: 3.59 g cm⁻³

(14)
First-principles (SCAN) data for a PBEsol-optimized structure of CuMoAs, as listed in the Alexandria database. Values from VASP.

```
&SYSTEM
  ibrav = 0, nat = 3, ntyp = 3
/
ATOMIC_SPECIES
Cu 63.55 Cu.upf
As 74.92 As.upf
Mo 95.94 Mo.upf
ATOMIC_POSITIONS crystal
Cu 0.6763 0.6763 0.3527
As 0.9918 0.9918 0.9835
Mo 0.3319 0.3319 0.6638
CELL_PARAMETERS angstrom
2.7217 0.0168 0.0000
-0.6974 2.6309 0.0000
-1.0122 -1.3239 6.3307
```

**E_form**: 0.365 eV/atom
**Mass density**: 8.57 g cm⁻³

(15)
First-principles (SCAN) data for a PBEsol-optimized structure of SrSc2Mn, as listed in the Alexandria database. Values from VASP.

```
&SYSTEM
  ibrav = 0, nat = 4, ntyp = 3
/
ATOMIC_SPECIES
Sc 44.96 Sc.upf
Mn 54.94 Mn.upf
Sr 87.62 Sr.upf
ATOMIC_POSITIONS crystal
Sc 0.8078 0.8078 0.6156
Sc 0.1922 0.1922 0.3844
Mn 0.5000 0.0000 0.0000
Sr 0.0000 0.5000 0.0000
CELL_PARAMETERS angstrom
-1.4935 -2.4561 -1.8809
3.1577 1.4701 -4.4270
2.7163 -2.7726 4.6005
```

**Polymorph energy (0 for the lowest one)**: 0.0 meV/atom
**E_form**: 0.310 eV/atom
**Mass density**: 3.96 g cm⁻³

(16)
First-principles (SCAN) data for a PBEsol-optimized structure of MnBF2, as listed in the Alexandria database. Values from VASP.

```
&SYSTEM
  ibrav = 0, nat = 4, ntyp = 3
/
ATOMIC_SPECIES
Mn 54.94 Mn.upf
F 19.00 F.upf
B 10.81 B.upf
ATOMIC_POSITIONS crystal
Mn 0.5000 0.5000 0.5000
F 0.7500 0.7500 0.7500
F 0.2500 0.2500 0.2500
B 0.0000 0.0000 0.0000
CELL_PARAMETERS angstrom
-1.1071 2.8222 -2.4355
-2.6114 -0.7469 -2.7829
-3.5847 1.4867 0.2478
```

**Mass density**: 4.14 g cm⁻³
**E**: -8.569 eV per atom

(17)
First-principles (SCAN) data for a PBEsol-optimized structure of YZrCo2, as listed in the Alexandria database. Values from VASP.

```
&SYSTEM
  ibrav = 0, nat = 4, ntyp = 3
/
ATOMIC_SPECIES
Y 88.91 Y.upf
Co 58.93 Co.upf
Zr 91.22 Zr.upf
ATOMIC_POSITIONS crystal
Y 0.4758 0.0000 0.9516
Co 0.0621 0.5000 0.1242
Co 0.2017 0.0000 0.4033
Zr 0.7605 0.5000 0.5209
CELL_PARAMETERS angstrom
3.6206 0.0000 0.0000
0.0000 3.6618 0.0000
-1.8103 0.0000 5.1999
```

**E_form**: -0.093 eV/atom
**Mass density**: 7.18 g cm⁻³

(18)
First-principles (SCAN) data for a PBEsol-optimized structure of Ba2I2O, as listed in the Alexandria database. Values from VASP.

```
&SYSTEM
  ibrav = 0, nat = 10, ntyp = 3
/
ATOMIC_SPECIES
O 16.00 O.upf
Ba 137.33 Ba.upf
I 126.90 I.upf
ATOMIC_POSITIONS crystal
O 0.2500 0.5000 0.0000
O 0.7500 0.5000 0.0000
Ba 0.9055 0.5818 0.8110
Ba 0.4055 0.2292 0.8110
Ba 0.5945 0.7708 0.1890
Ba 0.0945 0.4182 0.1890
I 0.8507 0.0077 0.7013
I 0.6493 0.3064 0.2987
I 0.3507 0.6936 0.7013
I 0.1493 0.9923 0.2987
CELL_PARAMETERS angstrom
-2.8859 -5.6396 -2.4562
5.0017 -0.1396 -5.5563
3.1758 -0.9790 7.9145
```

**Mass density**: 5.13 g cm⁻³
**E**: -34.158 eV per atom

(19)
First-principles (SCAN) data for a PBEsol-optimized structure of AlCl, as listed in the Alexandria database. Values from VASP.

```
&SYSTEM
  ibrav = 0, nat = 4, ntyp = 2
/
ATOMIC_SPECIES
Cl 35.45 Cl.upf
Al 26.98 Al.upf
ATOMIC_POSITIONS crystal
Cl 0.3333 0.6667 0.6998
Cl 0.6667 0.3333 0.3002
Al 0.6667 0.3333 0.8929
Al 0.3333 0.6667 0.1071
CELL_PARAMETERS angstrom
3.3841 0.0000 0.0000
-1.6921 2.9307 0.0000
0.0000 0.0000 8.3958
```

**Mass density**: 2.49 g cm⁻³
**E**: -8.522 eV per atom

(20)
First-principles (SCAN) data for a PBEsol-optimized structure of ZnCo2ReRh, as listed in the Alexandria database. Values from VASP.

```
&SYSTEM
  ibrav = 0, nat = 5, ntyp = 4
/
ATOMIC_SPECIES
Rh 102.91 Rh.upf
Zn 65.41 Zn.upf
Re 186.21 Re.upf
Co 58.93 Co.upf
ATOMIC_POSITIONS crystal
Rh 0.5000 0.5000 0.5000
Zn 0.0000 0.0000 0.0000
Re 0.0000 0.0000 0.5000
Co 0.5000 0.0000 0.0000
Co 0.0000 0.5000 0.0000
CELL_PARAMETERS angstrom
4.1183 0.0000 0.0000
0.0000 4.1183 0.0000
0.0000 0.0000 4.4905
```

**E_form**: 1.663 eV/atom
**Mass density**: 10.30 g cm⁻³

(21)
First-principles (SCAN) data for a PBEsol-optimized structure of Cu2Ag, as listed in the Alexandria database. Values from VASP.

```
&SYSTEM
  ibrav = 0, nat = 6, ntyp = 2
/
ATOMIC_SPECIES
Cu 63.55 Cu.upf
Ag 107.87 Ag.upf
ATOMIC_POSITIONS crystal
Cu 0.6583 0.3166 0.5420
Cu 0.3027 0.6053 0.8674
Cu 0.6973 0.3947 0.1326
Cu 0.3417 0.6834 0.4580
Ag 0.9791 0.9581 0.2159
Ag 0.0209 0.0419 0.7841
CELL_PARAMETERS angstrom
2.6858 0.0000 0.0000
-1.3429 5.0238 -0.0011
0.0000 -1.6989 5.8417
```

**Polymorph energy (0 for the lowest one)**: 33.5 meV/atom
**E_form**: 0.107 eV/atom
**Mass density**: 9.90 g cm⁻³

(22)
First-principles (SCAN) data for a PBEsol-optimized structure of Ce3CuSnSe7, as listed in the Alexandria database. Values from VASP.

```
&SYSTEM
  ibrav = 0, nat = 24, ntyp = 4
/
ATOMIC_SPECIES
Se 78.96 Se.upf
Sn 118.71 Sn.upf
Ce 140.12 Ce.upf
Cu 63.55 Cu.upf
ATOMIC_POSITIONS crystal
Se 0.2689 0.7411 0.8963
Se 0.7689 0.8448 0.7411
Se 0.9922 0.4366 0.9275
Se 0.4922 0.5092 0.4366
Se 0.5816 0.3333 0.6667
Se 0.0816 0.6667 0.3333
Se 0.9922 0.4908 0.5634
Se 0.2689 0.1552 0.2589
Se 0.7689 0.8963 0.1552
Se 0.4922 0.5634 0.0725
Se 0.4922 0.9275 0.4908
Se 0.7689 0.2589 0.1037
Se 0.9922 0.0725 0.5092
Se 0.2689 0.1037 0.8448
Sn 0.1698 0.3333 0.6667
Sn 0.6698 0.6667 0.3333
Ce 0.2474 0.7809 0.6397
Ce 0.2474 0.8588 0.2191
Ce 0.7474 0.1412 0.7809
Ce 0.7474 0.6397 0.8588
Ce 0.2474 0.3603 0.1412
Ce 0.7474 0.2191 0.3603
Cu 0.2821 0.0000 0.0000
Cu 0.7821 0.0000 0.0000
CELL_PARAMETERS angstrom
6.2314 0.0000 0.0000
0.0000 10.3714 0.0000
0.0000 -5.1857 8.9819
```

**Mass density**: 6.61 g cm⁻³
**E**: -28.560 eV per atom

The records above give, respectively, Fermi-level density of states values of 6.58; 1.14; 1.48; 2.13; 7.15; 2.74; 0.00; 2.94; 2.64; 0.00; 1.83; 2.50; 1.92; 1.23; 5.41; 1.86; 2.60; 0.00; 0.35; 5.12; 0.84; 10.05 states/eV/f.u..
The records above give, respectively, magnetic moment values of 3.899; 0.000; 0.000; 0.000; 1.774; 0.000; 0.000; 0.003; 0.000; 0.002; 0.000; 0.000; 0.000; 0.000; 1.628; 4.010; 0.729; 0.000; 0.000; 4.776; 0.000; 5.973 μB/cell.